1.
## Pr2VNi (PBE)

Data for an optimized crystal structure of Pr2VNi.

The structure in CIF format:
```
data_Pr2VNi
_chemical_formula_sum 'Pr6 V3 Ni3'
_symmetry_space_group_name_H-M 'R -3 m'
_symmetry_Int_Tables_number 166
_symmetry_space_group_name_Hall '-R 3 2"'
_cell_length_a 3.5884
_cell_length_b 3.5884
_cell_length_c 28.8054
_cell_angle_alpha 90.00
_cell_angle_beta 90.00
_cell_angle_gamma 120.00
loop_
_atom_site_label
_atom_site_type_symbol
_atom_site_fract_x
_atom_site_fract_y
_atom_site_fract_z
Pr1 Pr 0.0000 0.0000 0.1016
V1 V 0.0000 0.0000 0.0000
Ni1 Ni 0.0000 0.0000 0.5000
```

Its formation energy is 645.9 meV/atom. The value obtained for the magnetization is 10.13 μB/cell. As for the total DFT energy (no corrections): -65.63 eV per cell.

2.
## Li2AcAlHg4 (PBE)

Data for an optimized crystal structure of Li2AcAlHg4.

The structure in CIF format:
```
data_Li2AcAlHg4
_chemical_formula_sum 'Li6 Ac3 Al3 Hg12'
_symmetry_space_group_name_H-M 'R -3 m'
_symmetry_Int_Tables_number 166
_symmetry_space_group_name_Hall '-R 3 2"'
_cell_length_a 4.6718
_cell_length_b 4.6718
_cell_length_c 29.5609
_cell_angle_alpha 90.00
_cell_angle_beta 90.00
_cell_angle_gamma 120.00
loop_
_atom_site_label
_atom_site_type_symbol
_atom_site_fract_x
_atom_site_fract_y
_atom_site_fract_z
Li1 Li 0.0000 0.0000 0.2272
Ac1 Ac 0.0000 0.0000 0.0000
Al1 Al 0.0000 0.0000 0.5000
Hg1 Hg 0.0000 0.0000 0.1250
Hg2 Hg 0.0000 0.0000 0.3998
```

Its formation energy is -322.9 meV/atom. The value obtained for the magnetization is 0.00 μB/cell. As for the total DFT energy (no corrections): -46.41 eV per cell.

3.
## ZnCoNi3 (PBE)

Data for an optimized crystal structure of ZnCoNi3.

The structure in CIF format:
```
data_ZnCoNi3
_chemical_formula_sum 'Zn1 Co1 Ni3'
_symmetry_space_group_name_H-M 'P m -3 m'
_symmetry_Int_Tables_number 221
_symmetry_space_group_name_Hall '-P 4 2 3'
_cell_length_a 4.259
_cell_length_b 4.259
_cell_length_c 4.259
_cell_angle_alpha 90.00
_cell_angle_beta 90.00
_cell_angle_gamma 90.00
loop_
_atom_site_label
_atom_site_type_symbol
_atom_site_fract_x
_atom_site_fract_y
_atom_site_fract_z
Zn1 Zn 0.000 0.000 0.000
Co1 Co 0.500 0.500 0.500
Ni1 Ni 0.000 0.500 0.500
```

The calculation puts the energy above the most stable polymorph in this dataset at 4.76 eV per formula unit. Its formation energy is 898.2 meV/atom. The value obtained for the magnetization is 3.71 μB/cell. As for the total DFT energy (no corrections): -21.23 eV per cell.

4.
## SrNdY (PBE)

Data for an optimized crystal structure of SrNdY.

The structure in CIF format:
```
data_SrNdY
_chemical_formula_sum 'Sr2 Nd2 Y2'
_symmetry_space_group_name_H-M 'P -3 m 1'
_symmetry_Int_Tables_number 164
_symmetry_space_group_name_Hall '-P 3 2"'
_cell_length_a 3.7879
_cell_length_b 3.7879
_cell_length_c 18.9044
_cell_angle_alpha 90.00
_cell_angle_beta 90.00
_cell_angle_gamma 120.00
loop_
_atom_site_label
_atom_site_type_symbol
_atom_site_fract_x
_atom_site_fract_y
_atom_site_fract_z
Sr1 Sr 0.0000 0.0000 0.1015
Nd1 Nd 0.3333 0.6667 0.5795
Y1 Y 0.3333 0.6667 0.2712
```

The calculation puts the energy above the most stable polymorph in this dataset at 0.07 eV per formula unit. Its formation energy is 126.6 meV/atom. The value obtained for the magnetization is 0.00 μB/cell. As for the total DFT energy (no corrections): -25.07 eV per cell.

5.
## PaSbCl3 (PBE)

Data for an optimized crystal structure of PaSbCl3.

The structure in CIF format:
```
data_PaSbCl3
_chemical_formula_sum 'Pa4 Sb4 Cl12'
_symmetry_space_group_name_H-M 'P 1 2/c 1'
_symmetry_Int_Tables_number 13
_cell_length_a 7.254
_cell_length_b 8.105
_cell_length_c 13.626
_cell_angle_alpha 90.00
_cell_angle_beta 90.68
_cell_angle_gamma 90.00
loop_
_symmetry_equiv_pos_as_xyz
'x,y,z'
'-x,-y,-z'
'-x,y,-z+1/2'
'x,-y,z+1/2'
loop_
_atom_site_label
_atom_site_type_symbol
_atom_site_fract_x
_atom_site_fract_y
_atom_site_fract_z
Pa1 Pa 0.077 0.129 0.135
Sb1 Sb 0.171 0.421 0.292
Cl1 Cl 0.131 0.168 0.532
Cl2 Cl 0.221 0.044 0.787
Cl3 Cl 0.357 0.248 0.053
```

The calculation puts the uncorrected formation energy at -1.28 eV/atom. The value obtained for the magnetization is 3.70 μB/cell. As for the total DFT energy (no corrections): -102.18 eV per cell.

6.
## MoBr (PBE)

Data for an optimized crystal structure of MoBr.

The structure in CIF format:
```
data_MoBr
_chemical_formula_sum 'Mo6 Br6'
_symmetry_space_group_name_H-M 'P 63/m'
_symmetry_Int_Tables_number 176
_symmetry_space_group_name_Hall '-P 6c'
_cell_length_a 11.2786
_cell_length_b 11.2786
_cell_length_c 3.3518
_cell_angle_alpha 90.00
_cell_angle_beta 90.00
_cell_angle_gamma 120.00
loop_
_atom_site_label
_atom_site_type_symbol
_atom_site_fract_x
_atom_site_fract_y
_atom_site_fract_z
Mo1 Mo 0.0156 0.4353 0.2500
Br1 Br 0.2165 0.4368 0.7500
```

The calculation puts the energy above the most stable polymorph in this dataset at 0.68 eV per formula unit. The calculation puts the uncorrected formation energy at 0.26 eV/atom. The value obtained for the magnetization is 0.00 μB/cell. As for the total DFT energy (no corrections): -71.85 eV per cell.

7.
## TbThRe4 (PBE)

Data for an optimized crystal structure of TbThRe4.

The structure in CIF format:
```
data_TbThRe4
_chemical_formula_sum 'Tb4 Th4 Re16'
_symmetry_space_group_name_H-M 'F -4 3 m'
_symmetry_Int_Tables_number 216
_symmetry_space_group_name_Hall 'F -4 2 3'
_cell_length_a 7.768
_cell_length_b 7.768
_cell_length_c 7.768
_cell_angle_alpha 90.00
_cell_angle_beta 90.00
_cell_angle_gamma 90.00
loop_
_atom_site_label
_atom_site_type_symbol
_atom_site_fract_x
_atom_site_fract_y
_atom_site_fract_z
Tb1 Tb 0.000 0.000 0.000
Th1 Th 0.250 0.250 0.250
Re1 Re 0.125 0.125 0.625
```

The calculation puts the energy above the most stable polymorph in this dataset at 0.39 eV per formula unit. Its formation energy is -67.6 meV/atom. The value obtained for the magnetization is 0.00 μB/cell. As for the total DFT energy (no corrections): -248.99 eV per cell.

8.
## Nd6NiSe5 (PBE)

Data for an optimized crystal structure of Nd6NiSe5.

The structure in CIF format:
```
data_Nd6NiSe5
_chemical_formula_sum 'Nd12 Ni2 Se10'
_symmetry_space_group_name_H-M 'C 1 2/m 1'
_symmetry_Int_Tables_number 12
_cell_length_a 7.328
_cell_length_b 12.647
_cell_length_c 7.310
_cell_angle_alpha 90.00
_cell_angle_beta 109.66
_cell_angle_gamma 90.00
loop_
_symmetry_equiv_pos_as_xyz
'x,y,z'
'-x,-y,-z'
'-x,y,-z'
'x,-y,z'
'x+1/2,y+1/2,z'
'-x+1/2,-y+1/2,-z'
'-x+1/2,y+1/2,-z'
'x+1/2,-y+1/2,z'
loop_
_atom_site_label
_atom_site_type_symbol
_atom_site_fract_x
_atom_site_fract_y
_atom_site_fract_z
Nd1 Nd 0.238 0.160 0.239
Nd2 Nd 0.239 0.000 0.756
Ni1 Ni 0.000 0.000 0.000
Se1 Se 0.000 0.174 0.500
Se2 Se 0.000 0.335 0.000
Se3 Se 0.000 0.500 0.500
```

The calculation puts the uncorrected formation energy at -1.60 eV/atom. The value obtained for the magnetization is 0.00 μB/cell. As for the total DFT energy (no corrections): -141.92 eV per cell.

9.
## TbPm2Cd3 (PBE)

Data for an optimized crystal structure of TbPm2Cd3.

The structure in CIF format:
```
data_TbPm2Cd3
_chemical_formula_sum 'Tb2 Pm4 Cd6'
_symmetry_space_group_name_H-M 'P -3 m 1'
_symmetry_Int_Tables_number 164
_symmetry_space_group_name_Hall '-P 3 2"'
_cell_length_a 5.3841
_cell_length_b 5.3841
_cell_length_c 13.1926
_cell_angle_alpha 90.00
_cell_angle_beta 90.00
_cell_angle_gamma 120.00
loop_
_atom_site_label
_atom_site_type_symbol
_atom_site_fract_x
_atom_site_fract_y
_atom_site_fract_z
Tb1 Tb 0.3333 0.6667 0.1667
Pm1 Pm 0.0000 0.0000 0.0000
Pm2 Pm 0.0000 0.0000 0.5000
Pm3 Pm 0.3333 0.6667 0.6688
Cd1 Cd 0.0000 0.0000 0.2473
Cd2 Cd 0.3333 0.6667 0.4150
Cd3 Cd 0.3333 0.6667 0.9177
```

Its formation energy is -318.5 meV/atom. The value obtained for the magnetization is 2.55 μB/cell. As for the total DFT energy (no corrections): -37.58 eV per cell.

10.
## Ba2HfTi (PBE)

Data for an optimized crystal structure of Ba2HfTi.

The structure in CIF format:
```
data_Ba2HfTi
_chemical_formula_sum 'Ba8 Hf4 Ti4'
_symmetry_space_group_name_H-M 'I -4 2 d'
_symmetry_Int_Tables_number 122
_symmetry_space_group_name_Hall 'I -4 2bw'
_cell_length_a 9.228
_cell_length_b 9.228
_cell_length_c 6.486
_cell_angle_alpha 90.00
_cell_angle_beta 90.00
_cell_angle_gamma 90.00
loop_
_atom_site_label
_atom_site_type_symbol
_atom_site_fract_x
_atom_site_fract_y
_atom_site_fract_z
Ba1 Ba 0.239 0.250 0.125
Hf1 Hf 0.000 0.000 0.500
Ti1 Ti 0.000 0.000 0.000
```

The calculation puts the energy above the most stable polymorph in this dataset at 0.57 eV per formula unit. Its formation energy is 1196.4 meV/atom. The value obtained for the magnetization is 12.10 μB/cell. As for the total DFT energy (no corrections): -67.63 eV per cell.

11.
## Np6PaSe8 (PBE)

Data for an optimized crystal structure of Np6PaSe8.

The structure in CIF format:
```
data_Np6PaSe8
_chemical_formula_sum 'Np24 Pa4 Se32'
_symmetry_space_group_name_H-M 'F m -3 m'
_symmetry_Int_Tables_number 225
_symmetry_space_group_name_Hall '-F 4 2 3'
_cell_length_a 11.575
_cell_length_b 11.575
_cell_length_c 11.575
_cell_angle_alpha 90.00
_cell_angle_beta 90.00
_cell_angle_gamma 90.00
loop_
_atom_site_label
_atom_site_type_symbol
_atom_site_fract_x
_atom_site_fract_y
_atom_site_fract_z
Np1 Np 0.000 0.250 0.250
Pa1 Pa 0.000 0.000 0.000
Se1 Se 0.000 0.000 0.253
Se2 Se 0.250 0.250 0.250
```

The calculation puts the uncorrected formation energy at -1.12 eV/atom. The value obtained for the magnetization is 110.89 μB/cell. As for the total DFT energy (no corrections): -527.30 eV per cell.

12.
## AlSnSbTe2 (PBE)

Data for an optimized crystal structure of AlSnSbTe2.

The structure in CIF format:
```
data_AlSnSbTe2
_chemical_formula_sum 'Al1 Sn1 Sb1 Te2'
_symmetry_space_group_name_H-M 'P 4/m m m'
_symmetry_Int_Tables_number 123
_symmetry_space_group_name_Hall '-P 4 2'
_cell_length_a 5.353
_cell_length_b 5.353
_cell_length_c 5.311
_cell_angle_alpha 90.00
_cell_angle_beta 90.00
_cell_angle_gamma 90.00
loop_
_atom_site_label
_atom_site_type_symbol
_atom_site_fract_x
_atom_site_fract_y
_atom_site_fract_z
Al1 Al 0.000 0.000 0.000
Sn1 Sn 0.500 0.500 0.500
Sb1 Sb 0.000 0.000 0.500
Te1 Te 0.000 0.500 0.000
```

The calculation puts the energy above the most stable polymorph in this dataset at 0.00 eV per formula unit. The calculation puts the uncorrected formation energy at 0.24 eV/atom. The value obtained for the magnetization is 0.00 μB/cell. As for the total DFT energy (no corrections): -16.94 eV per cell.

Number 1: DOS(E_F) 3.60 states/eV/f.u.. Number 2: DOS(E_F) 2.45 states/eV/f.u.. Number 3: DOS(E_F) 5.28 states/eV/f.u.. Number 4: DOS(E_F) 4.87 states/eV/f.u.. Number 5: DOS(E_F) 0.91 states/eV/f.u.. Number 6: DOS(E_F) 0.16 states/eV/f.u.. Number 7: DOS(E_F) 11.81 states/eV/f.u.. Number 8: DOS(E_F) 5.53 states/eV/f.u.. Number 9: DOS(E_F) 6.72 states/eV/f.u.. Number 10: DOS(E_F) 6.87 states/eV/f.u.. Number 11: DOS(E_F) 53.80 states/eV/f.u.. Number 12: DOS(E_F) 4.00 states/eV/f.u..